DFT (PBE-GGA) results for a relaxed TlMo2 crystal.

Calculated values
Its energy above the most stable polymorph in this dataset is 0 meV per atom. The calculated volume is 18.144 A^3/atom.

a b c (Å): 3.3428 3.3428 9.7421
angles (deg): 90.00 90.00 90.00
Space group I4/mmm (No. 139)
Inequivalent atoms, fractional coordinates:
Tl  0.0000  0.0000  0.0000
Mo  0.0000  0.0000  0.3135

DFT (PBE-GGA) results for a relaxed Tl4Mo crystal.

Calculated values
Its energy above the most stable polymorph in this dataset is 402 meV per atom. The calculated volume is 30.229 A^3/atom.

a b c (Å): 4.2065 4.2065 17.0838
angles (deg): 90.00 90.00 90.00
Space group I4/mmm (No. 139)
Inequivalent atoms, fractional coordinates:
Tl  0.0000  0.0000  0.0888
Tl  0.0000  0.5000  0.2500
Mo  0.0000  0.0000  0.5000

DFT (PBE-GGA) results for a relaxed TlMo2 crystal.

Calculated values
Its energy above the most stable polymorph in this dataset is 65 meV per atom. The calculated volume is 19.433 A^3/atom.

a b c (Å): 3.1451 3.1451 6.8055
angles (deg): 90.00 90.00 120.00
Space group P-3m1 (No. 164)
Inequivalent atoms, fractional coordinates:
Tl  0.0000  0.0000  0.0000
Mo  0.3333  0.6667  0.3714

DFT (PBE-GGA) results for a relaxed Tl3Mo crystal.

Calculated values
Its energy above the most stable polymorph in this dataset is 191 meV per atom. The calculated volume is 24.458 A^3/atom.

a b c (Å): 3.1821 3.1821 33.4686
angles (deg): 90.00 90.00 120.00
Space group R-3m (No. 166, hexagonal axes)
Inequivalent atoms, fractional coordinates:
Tl  0.0000  0.0000  0.0000
Tl  0.0000  0.0000  0.2395
Mo  0.0000  0.0000  0.5000

DFT (PBE-GGA) results for a relaxed TlV2Mo crystal.

Calculated values
Its energy above the most stable polymorph in this dataset is 0 meV per atom. The calculated volume is 16.231 A^3/atom.

a b c (Å): 6.3800 6.3800 6.3800
angles (deg): 90.00 90.00 90.00
Space group Fm-3m (No. 225)
Inequivalent atoms, fractional coordinates:
Tl  0.0000  0.0000  0.0000
V  0.2500  0.2500  0.2500
Mo  0.0000  0.0000  0.5000

DFT (PBE-GGA) results for a relaxed TlV3Mo crystal.

Calculated values
Its energy above the most stable polymorph in this dataset is 0 meV per atom. The calculated volume is 19.578 A^3/atom.

a b c (Å): 4.6087 4.6087 4.6087
angles (deg): 90.00 90.00 90.00
Space group Pm-3m (No. 221)
Inequivalent atoms, fractional coordinates:
Tl  0.0000  0.0000  0.0000
V  0.0000  0.5000  0.5000
Mo  0.5000  0.5000  0.5000

no.,Fermi-level density of states (states/eV/atom),E_form (eV/atom)
1,0.7685,0.47
2,0.7879,0.91
3,0.8545,0.54
4,0.6277,0.59
5,1.1828,0.40
6,1.0134,1.17